VASP calculation (GGA-PBE) on crystalline Li2PrHo2Si2 at its relaxed geometry.

Output
Raw formation energy ... -0.40 eV/atom
SG ... R-3m, No. 166
Fermi-level density of states ... 3.6 states/eV/cell
Total DFT energy (no corrections) ... -4.49 eV/atom

a b c (Å): 4.4970 4.4970 9.2439
angles (deg): 75.92 75.92 60.00
Fractional coordinates of all 7 atoms:
Li (0.5922, 0.5922, 0.2233)
Li (0.4078, 0.4078, 0.7767)
Pr (0.0000, 0.0000, 0.0000)
Ho (0.8710, 0.8710, 0.3870)
Ho (0.1290, 0.1290, 0.6130)
Si (0.7429, 0.7429, 0.7714)
Si (0.2571, 0.2571, 0.2286)

=====

VASP calculation (GGA-PBE) on crystalline Li2Pr2HoSn2 at its relaxed geometry.

Output
SG ... R-3m, No. 166
Fermi-level density of states ... 5.0 states/eV/cell
Total DFT energy (no corrections) ... -4.17 eV/atom

a b c (Å): 4.7989 4.7989 9.6467
angles (deg): 75.60 75.60 60.00
Fractional coordinates of all 7 atoms:
Li (0.3921, 0.3921, 0.8237)
Li (0.6079, 0.6079, 0.1763)
Sn (0.2687, 0.2687, 0.1940)
Sn (0.7313, 0.7313, 0.8060)
Pr (0.8726, 0.8726, 0.3822)
Pr (0.1274, 0.1274, 0.6178)
Ho (0.0000, 0.0000, 0.0000)

=====

VASP calculation (GGA-PBE) on crystalline LiPrHoTe3 at its relaxed geometry.

Output
Raw formation energy ... -1.28 eV/atom
SG ... P2_1/m, No. 11
Fermi-level density of states ... 5.7 states/eV/cell
Total DFT energy (no corrections) ... -4.73 eV/atom

a b c (Å): 4.2948 8.9961 9.5515
angles (deg): 103.72 90.00 90.00
Fractional coordinates of all 12 atoms:
Pr (0.7500, 0.8097, 0.7659)
Pr (0.2500, 0.1903, 0.2341)
Ho (0.2500, 0.6698, 0.1597)
Ho (0.7500, 0.3302, 0.8403)
Te (0.7500, 0.9064, 0.1253)
Te (0.2500, 0.0936, 0.8747)
Te (0.2500, 0.7663, 0.4960)
Te (0.2500, 0.5655, 0.8263)
Te (0.7500, 0.4345, 0.1737)
Te (0.7500, 0.2337, 0.5040)
Li (0.2500, 0.0846, 0.5856)
Li (0.7500, 0.9154, 0.4144)

=====

VASP calculation (GGA-PBE) on crystalline LiPr4Ho3Te8 at its relaxed geometry.

Output
Raw formation energy ... -1.36 eV/atom
SG ... R-3m, No. 166
Fermi-level density of states ... 8.4 states/eV/cell
Total DFT energy (no corrections) ... -5.10 eV/atom

a b c (Å): 8.7780 8.9261 8.7780
angles (deg): 119.45 120.00 90.00
Fractional coordinates of all 16 atoms:
Te (0.7598, 0.2703, 0.0105)
Te (0.7447, 0.7342, 0.4894)
Te (0.2402, 0.7297, 0.9895)
Te (0.2553, 0.2658, 0.5106)
Te (0.7494, 0.7297, 0.9895)
Te (0.7598, 0.2703, 0.5197)
Te (0.2402, 0.7297, 0.4803)
Te (0.2506, 0.2703, 0.0105)
Ho (0.0000, 0.5000, 0.5000)
Ho (0.5000, 0.5000, 0.5000)
Ho (0.5000, 0.5000, 0.0000)
Li (0.0000, 0.5000, 0.0000)
Pr (0.0000, 0.0000, 0.5000)
Pr (0.5000, 0.0000, 0.5000)
Pr (0.5000, 0.0000, 0.0000)
Pr (0.0000, 0.0000, 0.0000)

=====

VASP calculation (GGA-PBE) on crystalline LiPrHo2Te4 at its relaxed geometry.

Output
Raw formation energy ... -1.32 eV/atom
SG ... P2/m, No. 10
Fermi-level density of states ... 3.0 states/eV/cell
Total DFT energy (no corrections) ... -4.87 eV/atom

a b c (Å): 4.3554 7.6174 7.6215
angles (deg): 109.08 90.00 90.00
Fractional coordinates of all 8 atoms:
Li (0.5000, 0.5000, 0.0000)
Te (0.0000, 0.7417, 0.2516)
Te (0.0000, 0.2583, 0.7484)
Te (0.5000, 0.2631, 0.2569)
Te (0.5000, 0.7369, 0.7431)
Ho (0.0000, 0.5000, 0.5000)
Ho (0.5000, 0.0000, 0.5000)
Pr (0.0000, 0.0000, 0.0000)

=====

VASP calculation (GGA-PBE) on crystalline LiPr2HoTe5 at its relaxed geometry.

Output
Raw formation energy ... -1.33 eV/atom
SG ... Cmc2_1, No. 36
Total DFT energy (no corrections) ... -4.86 eV/atom

a b c (Å): 4.4264 9.6729 13.2588
angles (deg): 90.00 90.00 103.23
Fractional coordinates of all 18 atoms:
Te (0.3106, 0.6212, 0.3464)
Te (0.3608, 0.7215, 0.9980)
Te (0.6894, 0.3788, 0.8464)
Te (0.2827, 0.5653, 0.6665)
Te (0.7173, 0.4347, 0.1665)
Te (0.4984, 0.9968, 0.7828)
Te (0.9519, 0.9038, 0.5709)
Te (0.5016, 0.0032, 0.2828)
Te (0.0481, 0.0962, 0.0709)
Te (0.6392, 0.2785, 0.4980)
Pr (0.8940, 0.7880, 0.1854)
Pr (0.8734, 0.7468, 0.8019)
Pr (0.1060, 0.2120, 0.6854)
Pr (0.1266, 0.2532, 0.3019)
Ho (0.1979, 0.3958, 0.0090)
Ho (0.8021, 0.6042, 0.5090)
Li (0.4409, 0.8817, 0.4632)
Li (0.5591, 0.1183, 0.9632)

=====

VASP calculation (GGA-PBE) on crystalline Li3PrHo2Te6 at its relaxed geometry.

Output
Raw formation energy ... -1.29 eV/atom
SG ... C2/m, No. 12
Total DFT energy (no corrections) ... -4.50 eV/atom

a b c (Å): 7.5944 7.5944 7.5107
angles (deg): 99.72 99.72 120.00
Fractional coordinates of all 12 atoms:
Te (0.2576, 0.2576, 0.7419)
Te (0.5706, 0.9142, 0.7431)
Te (0.4294, 0.0858, 0.2569)
Te (0.7424, 0.7424, 0.2581)
Te (0.9142, 0.5706, 0.7431)
Te (0.0858, 0.4294, 0.2569)
Pr (0.0000, 0.0000, 0.0000)
Ho (0.6668, 0.3332, 0.0000)
Ho (0.3332, 0.6668, 0.0000)
Li (0.1652, 0.8348, 0.5000)
Li (0.5000, 0.5000, 0.5000)
Li (0.8348, 0.1652, 0.5000)

=====

VASP calculation (GGA-PBE) on crystalline LiPr3Ho3Te8 at its relaxed geometry.

Output
Raw formation energy ... -1.36 eV/atom
SG ... R-3m, No. 166
Fermi-level density of states ... 4.6 states/eV/cell
Total DFT energy (no corrections) ... -5.03 eV/atom

a b c (Å): 8.7989 8.7990 8.8591
angles (deg): 119.78 90.00 120.00
Fractional coordinates of all 15 atoms:
Te (0.2477, 0.4955, 0.7379)
Te (0.7424, 0.9902, 0.7380)
Te (0.7453, 0.4905, 0.7358)
Te (0.2576, 0.0098, 0.2620)
Te (0.7523, 0.5045, 0.2621)
Te (0.7522, 0.0098, 0.2621)
Te (0.2547, 0.5095, 0.2642)
Te (0.2478, 0.9902, 0.7379)
Pr (0.0000, 0.5000, 0.0000)
Pr (0.0000, 0.0000, 0.0000)
Pr (0.5000, 0.5000, 0.0000)
Li (0.0000, 0.0000, 0.5000)
Ho (0.5000, 0.5000, 0.5000)
Ho (0.0000, 0.5000, 0.5000)
Ho (0.5000, 0.0000, 0.5000)

=====

VASP calculation (GGA-PBE) on crystalline LiPr2Ho3Te6 at its relaxed geometry.

Output
Raw formation energy ... -1.34 eV/atom
SG ... C2/m, No. 12
Fermi-level density of states ... 3.7 states/eV/cell
Total DFT energy (no corrections) ... -5.01 eV/atom

a b c (Å): 4.3783 8.8429 9.8725
angles (deg): 103.33 102.81 90.00
Fractional coordinates of all 12 atoms:
Te (0.6628, 0.0715, 0.3255)
Te (0.3391, 0.4068, 0.6781)
Te (0.6609, 0.5932, 0.3219)
Te (0.3372, 0.9285, 0.6745)
Te (0.9969, 0.2449, 0.9937)
Te (0.0031, 0.7551, 0.0063)
Ho (0.1703, 0.8321, 0.3406)
Ho (0.8297, 0.1679, 0.6594)
Ho (0.5000, 0.5000, 0.0000)
Li (0.5000, 0.0000, 0.0000)
Pr (0.8292, 0.6574, 0.6584)
Pr (0.1708, 0.3426, 0.3416)

=====

VASP calculation (GGA-PBE) on crystalline Li2PrHoTe4 at its relaxed geometry.

Output
Raw formation energy ... -1.29 eV/atom
SG ... P2/m, No. 10
Total DFT energy (no corrections) ... -4.51 eV/atom

a b c (Å): 4.4121 7.6425 7.5197
angles (deg): 109.72 90.00 90.00
Fractional coordinates of all 8 atoms:
Ho (0.5000, 0.5000, 0.0000)
Pr (0.0000, 0.0000, 0.0000)
Te (0.0000, 0.7428, 0.2563)
Te (0.0000, 0.2572, 0.7437)
Te (0.5000, 0.2628, 0.2614)
Te (0.5000, 0.7372, 0.7386)
Li (0.5000, 0.0000, 0.5000)
Li (0.0000, 0.5000, 0.5000)

=====

VASP calculation (GGA-PBE) on crystalline LiPrHo2Tl4 at its relaxed geometry.

Output
SG ... R-3m, No. 166
Fermi-level density of states ... 4.5 states/eV/cell
Total DFT energy (no corrections) ... -3.49 eV/atom

a b c (Å): 5.2729 5.2729 9.4649
angles (deg): 73.83 73.83 60.00
Fractional coordinates of all 8 atoms:
Ho (0.7550, 0.7550, 0.7351)
Ho (0.2450, 0.2450, 0.2649)
Tl (0.3797, 0.3797, 0.8609)
Tl (0.6203, 0.6203, 0.1391)
Tl (0.8716, 0.8716, 0.3852)
Tl (0.1284, 0.1284, 0.6148)
Pr (0.0000, 0.0000, 0.0000)
Li (0.5000, 0.5000, 0.5000)

=====

VASP calculation (GGA-PBE) on crystalline Li2Pr2HoTl2 at its relaxed geometry.

Output
SG ... R-3m, No. 166
Fermi-level density of states ... 6.1 states/eV/cell
Total DFT energy (no corrections) ... -3.44 eV/atom

a b c (Å): 4.8689 4.8689 9.5932
angles (deg): 75.30 75.30 60.00
Fractional coordinates of all 7 atoms:
Li (0.3894, 0.3894, 0.8319)
Li (0.6106, 0.6106, 0.1681)
Ho (0.0000, 0.0000, 0.0000)
Pr (0.1263, 0.1263, 0.6210)
Pr (0.8737, 0.8737, 0.3790)
Tl (0.7325, 0.7325, 0.8025)
Tl (0.2675, 0.2675, 0.1975)

=====

VASP calculation (GGA-PBE) on crystalline LiPrHoTl at its relaxed geometry.

Output
SG ... F-43m, No. 216
Fermi-level density of states ... 4.3 states/eV/cell
Total DFT energy (no corrections) ... -3.60 eV/atom

a b c (Å): 5.3843 5.3843 5.3843
angles (deg): 60.00 60.00 60.00
Fractional coordinates of all 4 atoms:
Ho (0.7500, 0.7500, 0.7500)
Tl (0.5000, 0.5000, 0.5000)
Li (0.0000, 0.0000, 0.0000)
Pr (0.2500, 0.2500, 0.2500)

=====

VASP calculation (GGA-PBE) on crystalline LiPrHoZn at its relaxed geometry.

Output
ΔE to the lowest computed polymorph ... 0 meV/atom
SG ... P4mm, No. 99
Fermi-level density of states ... 4.6 states/eV/cell
Total DFT energy (no corrections) ... -3.25 eV/atom

a b c (Å): 3.6811 3.6811 7.4685
angles (deg): 90.00 90.00 90.00
Fractional coordinates of all 4 atoms:
Ho (0.5000, 0.5000, 0.1251)
Pr (0.5000, 0.5000, 0.5911)
Zn (0.0000, 0.0000, 0.3390)
Li (0.0000, 0.0000, 0.8727)

=====

VASP calculation (GGA-PBE) on crystalline LiPrHoZn at its relaxed geometry.

Output
ΔE to the lowest computed polymorph ... 11 meV/atom
SG ... F-43m, No. 216
Fermi-level density of states ... 5.6 states/eV/cell
Total DFT energy (no corrections) ... -3.24 eV/atom

a b c (Å): 5.1989 5.1989 5.1989
angles (deg): 60.00 60.00 60.00
Fractional coordinates of all 4 atoms:
Ho (0.7500, 0.7500, 0.7500)
Zn (0.0000, 0.0000, 0.0000)
Pr (0.2500, 0.2500, 0.2500)
Li (0.5000, 0.5000, 0.5000)

=====

VASP calculation (GGA-PBE) on crystalline LiHoPt2 at its relaxed geometry.

Output
SG ... P4/mmm, No. 123
Fermi-level density of states ... 0.5 states/eV/cell
Total DFT energy (no corrections) ... -5.63 eV/atom

a b c (Å): 3.4619 3.4619 5.8655
angles (deg): 90.00 90.00 90.00
Fractional coordinates of all 4 atoms:
Li (0.5000, 0.5000, 0.0000)
Pt (0.0000, 0.0000, 0.7676)
Pt (0.0000, 0.0000, 0.2324)
Ho (0.5000, 0.5000, 0.5000)

=====

VASP calculation (GGA-PBE) on crystalline LiHo4Pt at its relaxed geometry.

Output
SG ... I4_1md, No. 109
Fermi-level density of states ... 16.4 states/eV/cell
Total DFT energy (no corrections) ... -4.49 eV/atom

a b c (Å): 8.0066 8.0066 8.0066
angles (deg): 101.81 101.81 126.21
Fractional coordinates of all 12 atoms:
Ho (0.2591, 0.9503, 0.6912)
Ho (0.7500, 0.0116, 0.2616)
Ho (0.7500, 0.4884, 0.7384)
Ho (0.3179, 0.5091, 0.8088)
Ho (0.7003, 0.5091, 0.1912)
Ho (0.7616, 0.0000, 0.7616)
Ho (0.2591, 0.5679, 0.3088)
Ho (0.2384, 0.0000, 0.2384)
Pt (0.7955, 0.7955, 0.0000)
Pt (0.5455, 0.0455, 0.5000)
Li (0.9362, 0.4362, 0.5000)
Li (0.1862, 0.1862, 0.0000)

=====

VASP calculation (GGA-PBE) on crystalline LiHoPt at its relaxed geometry.

Output
ΔE to the lowest computed polymorph ... 0 meV/atom
SG ... P-62m, No. 189
Fermi-level density of states ... 4.5 states/eV/cell
Total DFT energy (no corrections) ... -5.07 eV/atom

a b c (Å): 4.0014 7.1302 7.1301
angles (deg): 120.00 90.00 90.00
Fractional coordinates of all 9 atoms:
Pt (0.0000, 0.6667, 0.3333)
Pt (0.0000, 0.3333, 0.6667)
Pt (0.5000, 0.0000, 0.0000)
Li (0.0000, 0.2373, 0.0000)
Li (0.0000, 0.7627, 0.7627)
Li (0.0000, 0.0000, 0.2373)
Ho (0.5000, 0.4062, 0.4062)
Ho (0.5000, 0.0000, 0.5938)
Ho (0.5000, 0.5938, 0.0000)

=====

VASP calculation (GGA-PBE) on crystalline LiHoPt at its relaxed geometry.

Output
ΔE to the lowest computed polymorph ... 82 meV/atom
SG ... C2/m, No. 12
Fermi-level density of states ... 2.9 states/eV/cell
Total DFT energy (no corrections) ... -4.99 eV/atom

a b c (Å): 3.8602 5.4238 7.3831
angles (deg): 62.06 89.98 69.14
Fractional coordinates of all 6 atoms:
Ho (0.1517, 0.2387, 0.6838)
Ho (0.2938, 0.9530, 0.3565)
Pt (0.5695, 0.4013, 0.3465)
Pt (0.8760, 0.7904, 0.6939)
Li (0.9110, 0.7188, 0.0877)
Li (0.5345, 0.4728, 0.9527)

=====

VASP calculation (GGA-PBE) on crystalline LiHo3Pt2 at its relaxed geometry.

Output
SG ... P-3m1, No. 164
Fermi-level density of states ... 7.7 states/eV/cell
Total DFT energy (no corrections) ... -5.53 eV/atom

a b c (Å): 4.9190 4.9190 12.3394
angles (deg): 90.00 90.00 120.00
Fractional coordinates of all 12 atoms:
Ho (0.3333, 0.6667, 0.9235)
Ho (0.3333, 0.6667, 0.4198)
Ho (0.6667, 0.3333, 0.0765)
Ho (0.6667, 0.3333, 0.5802)
Ho (0.0000, 0.0000, 0.2423)
Ho (0.0000, 0.0000, 0.7577)
Pt (0.3333, 0.6667, 0.1922)
Pt (0.0000, 0.0000, 0.5000)
Pt (0.0000, 0.0000, 0.0000)
Pt (0.6667, 0.3333, 0.8078)
Li (0.3333, 0.6667, 0.6704)
Li (0.6667, 0.3333, 0.3296)

=====

VASP calculation (GGA-PBE) on crystalline Li4HoPt at its relaxed geometry.

Output
SG ... F-43m, No. 216
Fermi-level density of states ... 4.6 states/eV/cell
Total DFT energy (no corrections) ... -3.26 eV/atom

a b c (Å): 5.1561 5.1561 5.1561
angles (deg): 60.00 60.00 60.00
Fractional coordinates of all 6 atoms:
Pt (0.0000, 0.0000, 0.0000)
Ho (0.2500, 0.2500, 0.2500)
Li (0.6283, 0.6283, 0.1150)
Li (0.6283, 0.1150, 0.6283)
Li (0.6283, 0.6283, 0.6283)
Li (0.1150, 0.6283, 0.6283)

=====

VASP calculation (GGA-PBE) on crystalline Li2Ho3Pt5 at its relaxed geometry.

Output
SG ... P4/mbm, No. 127
Fermi-level density of states ... 7.2 states/eV/cell
Total DFT energy (no corrections) ... -5.80 eV/atom

a b c (Å): 3.7225 9.7157 9.7157
angles (deg): 90.00 90.00 90.00
Fractional coordinates of all 20 atoms:
Li (0.0000, 0.3798, 0.1202)
Li (0.0000, 0.1202, 0.6202)
Li (0.0000, 0.6202, 0.8798)
Li (0.0000, 0.8798, 0.3798)
Ho (0.0000, 0.6753, 0.1753)
Ho (0.0000, 0.1753, 0.3247)
Ho (0.0000, 0.5000, 0.5000)
Ho (0.0000, 0.0000, 0.0000)
Ho (0.0000, 0.3247, 0.8247)
Ho (0.0000, 0.8247, 0.6753)
Pt (0.5000, 0.2158, 0.0703)
Pt (0.5000, 0.0703, 0.7842)
Pt (0.5000, 0.2842, 0.5703)
Pt (0.5000, 0.5000, 0.0000)
Pt (0.5000, 0.5703, 0.7158)
Pt (0.5000, 0.7158, 0.4297)
Pt (0.5000, 0.4297, 0.2842)
Pt (0.5000, 0.0000, 0.5000)
Pt (0.5000, 0.7842, 0.9297)
Pt (0.5000, 0.9297, 0.2158)

=====

VASP calculation (GGA-PBE) on crystalline Li2HoPt at its relaxed geometry.

Output
ΔE to the lowest computed polymorph ... 0 meV/atom
SG ... Cmmm, No. 65
Fermi-level density of states ... 1.5 states/eV/cell
Total DFT energy (no corrections) ... -4.11 eV/atom

a b c (Å): 3.9831 3.9824 5.0829
angles (deg): 90.00 90.00 92.67
Fractional coordinates of all 4 atoms:
Li (0.4510, 0.5495, 0.0000)
Li (0.0490, 0.9505, 0.0000)
Pt (0.2500, 0.7500, 0.5000)
Ho (0.7500, 0.2500, 0.5000)